The following is a DFT calculation (PBE-GGA) of crystalline MgRuF2 at its relaxed geometry.

Calculated values
Energy above the most stable polymorph in this dataset, meV/atom: 622
N(E_F), states/eV per cell: 10.87

Cell and atoms, written as extended XYZ:
```
8
Lattice="-2.6789 2.6789 4.5095 2.6789 -2.6789 4.5095 2.6789 2.6789 -4.5095" Properties=species:S:1:pos:R:3 pbc="T T T"
Mg 0.0000 0.0000 0.0000
Mg 0.0000 2.6789 2.2547
Ru 2.6789 0.0000 2.2547
Ru 0.0000 0.0000 4.5095
F 4.0184 0.6924 -1.1274
F 0.6924 1.3395 1.1274
F -1.3395 1.9865 3.3821
F 1.9865 1.3395 5.6368
```

The following is a DFT calculation (PBE-GGA) of crystalline Mg2RuSF at its relaxed geometry.

Calculated values
N(E_F), states/eV per cell: 1.70

Cell and atoms, written as extended XYZ:
```
5
Lattice="4.9373 0.0000 0.0000 0.0000 4.9373 0.0000 0.0000 0.0000 4.1750" Properties=species:S:1:pos:R:3 pbc="T T T"
Mg 0.0000 2.4686 0.0000
Mg 2.4686 0.0000 0.0000
Ru 0.0000 0.0000 2.0875
S 0.0000 0.0000 0.0000
F 2.4686 2.4686 2.0875
```

The following is a DFT calculation (PBE-GGA) of crystalline SrMg2RuF at its relaxed geometry.

Calculated values
N(E_F), states/eV per cell: 2.84

Cell and atoms, written as extended XYZ:
```
5
Lattice="6.4206 0.0000 0.0000 0.0000 6.4206 0.0000 0.0000 0.0000 4.9386" Properties=species:S:1:pos:R:3 pbc="T T T"
Sr 0.0000 0.0000 0.0000
Mg 0.0000 3.2103 0.0000
Mg 3.2103 0.0000 0.0000
Ru 0.0000 0.0000 2.4693
F 3.2103 3.2103 2.4693
```

The following is a DFT calculation (PBE-GGA) of crystalline MgTaRu2F at its relaxed geometry.

Calculated values
N(E_F), states/eV per cell: 5.00

Cell and atoms, written as extended XYZ:
```
5
Lattice="4.4853 0.0000 0.0000 0.0000 4.4853 0.0000 0.0000 0.0000 4.9795" Properties=species:S:1:pos:R:3 pbc="T T T"
Mg 0.0000 0.0000 0.0000
Ta 0.0000 0.0000 2.4898
Ru 0.0000 2.2426 0.0000
Ru 2.2426 0.0000 0.0000
F 2.2426 2.2426 2.4898
```

The following is a DFT calculation (PBE-GGA) of crystalline MgTlRuF6 at its relaxed geometry.

Calculated values
N(E_F), states/eV per cell: 10.14

Cell and atoms, written as extended XYZ:
```
18
Lattice="-3.6866 3.7180 5.2874 3.6866 -3.7180 5.2874 3.6866 3.7180 -5.2874" Properties=species:S:1:pos:R:3 pbc="T T T"
Mg -1.8433 1.8590 2.6437
Mg 1.8433 1.8590 2.6437
Tl 3.6866 1.8590 -0.7712
Tl 0.0000 1.8590 6.0586
Ru 0.0000 0.0000 0.0000
Ru 0.0000 3.7180 0.0000
F 3.6866 -1.8590 4.4787
F 1.5041 0.4100 1.2729
F 5.8692 0.4100 1.2729
F 1.5041 4.1280 -1.2729
F 2.1825 0.4100 4.0145
F 3.6866 1.8590 1.9843
F 0.0000 1.8590 3.3031
F 1.5041 3.3080 1.2729
F 2.1825 -0.4100 6.5604
F -2.1825 3.3080 4.0145
F 2.1825 3.3080 4.0145
F 0.0000 5.5770 0.8087
```

The following is a DFT calculation (PBE-GGA) of crystalline MgZnRuF2 at its relaxed geometry.

Calculated values
N(E_F), states/eV per cell: 2.59

Cell and atoms, written as extended XYZ:
```
5
Lattice="3.6854 0.0000 0.0000 0.0000 3.6854 0.0000 0.0000 0.0000 7.5169" Properties=species:S:1:pos:R:3 pbc="T T T"
Mg 0.0000 0.0000 0.0000
Zn 1.8427 1.8427 3.7584
Ru 0.0000 0.0000 3.7584
F 0.0000 1.8427 0.0000
F 1.8427 0.0000 0.0000
```

The following is a DFT calculation (PBE-GGA) of crystalline MgS2F at its relaxed geometry.

Calculated values
Energy above the most stable polymorph in this dataset, meV/atom: 333
N(E_F), states/eV per cell: 4.43

Cell and atoms, written as extended XYZ:
```
4
Lattice="1.9467 1.1240 6.2523 -1.9467 1.1240 6.2523 0.0000 -2.2479 6.2523" Properties=species:S:1:pos:R:3 pbc="T T T"
Mg 0.0000 0.0000 0.0000
S 0.0000 0.0000 7.4022
S 0.0000 0.0000 11.3547
F 0.0000 0.0000 9.3784
```

The following is a DFT calculation (PBE-GGA) of crystalline MgSF3 at its relaxed geometry.

Calculated values
Energy above the most stable polymorph in this dataset, meV/atom: 1024
N(E_F), states/eV per cell: 1.31

Cell and atoms, written as extended XYZ:
```
5
Lattice="4.3298 0.0000 0.0000 0.0000 4.3298 0.0000 0.0000 0.0000 4.3298" Properties=species:S:1:pos:R:3 pbc="T T T"
Mg 0.0000 0.0000 0.0000
S 2.1649 2.1649 2.1649
F 0.0000 2.1649 2.1649
F 2.1649 0.0000 2.1649
F 2.1649 2.1649 0.0000
```

The following is a DFT calculation (PBE-GGA) of crystalline MgSF2 at its relaxed geometry.

Calculated values
Energy above the most stable polymorph in this dataset, meV/atom: 1053
N(E_F), states/eV per cell: 1.10

Cell and atoms, written as extended XYZ:
```
4
Lattice="0.0000 3.0022 3.0022 3.0022 0.0000 3.0022 3.0022 3.0022 0.0000" Properties=species:S:1:pos:R:3 pbc="T T T"
Mg 0.0000 0.0000 0.0000
S 3.0022 3.0022 3.0022
F 1.5011 1.5011 1.5011
F 4.5033 4.5033 4.5033
```

The following is a DFT calculation (PBE-GGA) of crystalline MgSF2 at its relaxed geometry.

Calculated values
Energy above the most stable polymorph in this dataset, meV/atom: 289
N(E_F), states/eV per cell: 2.39

Cell and atoms, written as extended XYZ:
```
8
Lattice="-2.9779 2.9779 4.5411 2.9779 -2.9779 4.5411 2.9779 2.9779 -4.5411" Properties=species:S:1:pos:R:3 pbc="T T T"
Mg 0.0000 0.0000 0.0000
Mg 0.0000 2.9779 2.2706
S 2.9779 0.0000 2.2706
S 0.0000 0.0000 4.5411
F 0.0779 1.4890 1.1353
F -1.4890 2.9000 3.4059
F -0.0779 4.4669 1.1353
F 1.4890 3.0559 3.4059
```

The following is a DFT calculation (PBE-GGA) of crystalline MgSF at its relaxed geometry.

Cell and atoms, written as extended XYZ:
```
18
Lattice="-5.2057 5.8669 2.4406 5.2057 -5.8669 2.4406 5.2057 5.8669 -2.4406" Properties=species:S:1:pos:R:3 pbc="T T T"
Mg 0.0305 1.8418 0.0000
Mg 5.1752 1.8418 0.0000
Mg 2.6029 5.7053 0.8811
Mg 2.6029 0.1617 3.3217
Mg 0.0305 4.0251 2.4406
Mg 5.1752 4.0251 2.4406
S 7.8086 1.7339 -0.0580
S 7.8086 -0.1625 0.9410
S 2.6029 0.1625 0.9410
S 2.6029 3.2219 1.1612
S -2.6029 4.1330 2.3826
S 2.6029 2.6451 3.6018
F 5.3557 3.6984 -0.5491
F 5.0557 -2.1685 1.8915
F -0.1500 2.1685 1.8915
F 5.3557 2.1685 1.8915
F 0.0000 5.8669 1.6457
F 0.0000 0.0000 4.0863
```

The following is a DFT calculation (PBE-GGA) of crystalline MgS2F at its relaxed geometry.

Calculated values
Energy above the most stable polymorph in this dataset, meV/atom: 559
N(E_F), states/eV per cell: 3.13

Cell and atoms, written as extended XYZ:
```
4
Lattice="0.0000 3.1032 3.1032 3.1032 0.0000 3.1032 3.1032 3.1032 0.0000" Properties=species:S:1:pos:R:3 pbc="T T T"
Mg 0.0000 0.0000 0.0000
S 1.5516 1.5516 1.5516
S 4.6548 4.6548 4.6548
F 3.1032 3.1032 3.1032
```

Energy relative to the elements, uncorrected values, unit meV per atom, following the record order: -1180; -323; 1088; 1886; -2292; -1192; -569; -814; -1104; -1868; -1930; -342.